An optimized crystal structure of SrMn3Co, computed with PBE.

```
SrMn3Co
1.0
4.710 0.000 0.000
0.000 4.710 0.000
0.000 0.000 4.710
Sr Mn Co
1 3 1
Direct
0.000 0.000 0.000
0.000 0.500 0.500
0.500 0.000 0.500
0.500 0.500 0.000
0.500 0.500 0.500
```

* symmetry: Pm-3m (221)
* total moment: 12.9 μB per cell
* E_form: 0.57 eV per atom
* energy above the lowest structure with this stoichiometry: 0.0 meV/atom